#1
{"formula": "HoHS2", "functional": "PBE", "state": "optimized geometry", "total_magnetization_mub_per_atom": 0.000, "vol_a3_per_atom": 21.77, "cell": [[2.0330, 1.1738, 6.0829], [-2.0330, 1.1738, 6.0829], [0.0000, -2.3475, 6.0829]], "species": ["Ho", "H", "S", "S"], "frac_coords": [[0.0000, 0.0000, 0.0000], [0.5000, 0.5000, 0.5000], [0.4107, 0.4107, 0.4107], [0.5893, 0.5893, 0.5893]]}


#2
{"formula": "HoHS2", "functional": "PBE", "state": "optimized geometry", "total_magnetization_mub_per_atom": 0.000, "vol_a3_per_atom": 20.63, "cell": [[4.0686, 0.0000, 0.0000], [0.0000, 6.0337, 0.0000], [0.0000, 0.0000, 6.7236]], "species": ["Ho", "Ho", "H", "H", "S", "S", "S", "S"], "frac_coords": [[0.0000, 0.2160, 0.0000], [0.5000, 0.7840, 0.5000], [0.0000, 0.3329, 0.4650], [0.5000, 0.6671, 0.9650], [0.0000, 0.0123, 0.6506], [0.0000, 0.5090, 0.3334], [0.5000, 0.4910, 0.8334], [0.5000, 0.9877, 0.1506]]}


#2 comes first in stability; the runner-up is 42 meV per atom higher.


#1
{"formula": "Ho3SbH", "functional": "PBE", "state": "optimized geometry", "total_magnetization_mub_per_atom": 0.000, "vol_a3_per_atom": 21.46, "cell": [[4.7518, 0.0000, 0.0000], [0.0000, 4.7518, 0.0000], [0.0000, 0.0000, 4.7518]], "species": ["Ho", "Ho", "Ho", "Sb", "H"], "frac_coords": [[0.0000, 0.0000, 0.5000], [0.0000, 0.5000, 0.0000], [0.5000, 0.0000, 0.0000], [0.5000, 0.5000, 0.5000], [0.0000, 0.0000, 0.0000]]}


#2
{"formula": "Ho3SbH", "functional": "PBE", "state": "optimized geometry", "total_magnetization_mub_per_atom": 0.000, "vol_a3_per_atom": 23.44, "cell": [[6.4531, 0.0000, 0.0000], [0.0000, 3.9122, 0.0000], [-1.7406, 0.0000, 9.2851]], "species": ["Ho", "Ho", "Ho", "Ho", "Ho", "Ho", "Sb", "Sb", "H", "H"], "frac_coords": [[0.0916, 0.2500, 0.3526], [0.2665, 0.7500, 0.0882], [0.4057, 0.7500, 0.6240], [0.5943, 0.2500, 0.3760], [0.7335, 0.2500, 0.9118], [0.9084, 0.7500, 0.6474], [0.2183, 0.2500, 0.8368], [0.7817, 0.7500, 0.1632], [0.3231, 0.7500, 0.3482], [0.6769, 0.2500, 0.6518]]}


#2 comes first in stability; the runner-up is 34 meV per atom higher.


#1
{"formula": "HoSc2H", "functional": "PBE", "state": "optimized geometry", "total_magnetization_mub_per_atom": 0.000, "vol_a3_per_atom": 19.69, "cell": [[1.6824, 0.9713, 8.0332], [-1.6824, 0.9713, 8.0332], [0.0000, -1.9426, 8.0332]], "species": ["Ho", "Sc", "Sc", "H"], "frac_coords": [[0.0000, 0.0000, 0.0000], [0.2180, 0.2180, 0.2180], [0.7820, 0.7820, 0.7820], [0.5000, 0.5000, 0.5000]]}


#2
{"formula": "HoSc2H", "functional": "PBE", "state": "optimized geometry", "total_magnetization_mub_per_atom": 0.000, "vol_a3_per_atom": 19.88, "cell": [[3.1392, 0.0000, 0.0000], [0.0000, 3.1392, 0.0000], [0.0000, 0.0000, 8.0702]], "species": ["Ho", "Sc", "Sc", "H"], "frac_coords": [[0.0000, 0.0000, 0.0000], [0.5000, 0.5000, 0.3153], [0.5000, 0.5000, 0.6847], [0.0000, 0.0000, 0.5000]]}


#1 comes first in stability; the runner-up is 353 meV per atom higher.


#1
{"formula": "Ho2ScH", "functional": "PBE", "state": "optimized geometry", "total_magnetization_mub_per_atom": 0.000, "vol_a3_per_atom": 21.74, "cell": [[1.7583, 1.0152, 8.1186], [-1.7583, 1.0152, 8.1186], [0.0000, -2.0303, 8.1186]], "species": ["Ho", "Ho", "Sc", "H"], "frac_coords": [[0.2233, 0.2233, 0.2233], [0.7767, 0.7767, 0.7767], [0.0000, 0.0000, 0.0000], [0.5000, 0.5000, 0.5000]]}


#2
{"formula": "Ho2ScH", "functional": "PBE", "state": "optimized geometry", "total_magnetization_mub_per_atom": 0.000, "vol_a3_per_atom": 21.49, "cell": [[3.2528, 0.0000, 0.0000], [0.0000, 3.2528, 0.0000], [0.0000, 0.0000, 8.1252]], "species": ["Ho", "Ho", "Sc", "H"], "frac_coords": [[0.0000, 0.0000, 0.1978], [0.0000, 0.0000, 0.8022], [0.5000, 0.5000, 0.5000], [0.5000, 0.5000, 0.0000]]}


#1 comes first in stability; the runner-up is 259 meV per atom higher.


#1
{"formula": "HoHSe", "functional": "PBE", "state": "optimized geometry", "total_magnetization_mub_per_atom": 0.000, "vol_a3_per_atom": 19.37, "cell": [[1.9530, -5.2130, 0.0000], [1.9530, 5.2130, 0.0000], [0.0000, 0.0000, 5.7090]], "species": ["Ho", "Ho", "H", "H", "Se", "Se"], "frac_coords": [[0.1430, 0.8570, 0.7500], [0.8570, 0.1430, 0.2500], [0.4272, 0.5728, 0.2500], [0.5728, 0.4272, 0.7500], [0.1449, 0.8551, 0.2500], [0.8551, 0.1449, 0.7500]]}


#2
{"formula": "HoHSe", "functional": "PBE", "state": "optimized geometry", "total_magnetization_mub_per_atom": 0.000, "vol_a3_per_atom": 16.36, "cell": [[3.8167, 0.0000, 0.0000], [-1.9084, 3.3054, 0.0000], [0.0000, 0.0000, 3.8911]], "species": ["Ho", "H", "Se"], "frac_coords": [[0.0000, 0.0000, 0.0000], [0.6667, 0.3333, 0.0000], [0.3333, 0.6667, 0.5000]]}


#3
{"formula": "HoHSe", "functional": "PBE", "state": "optimized geometry", "total_magnetization_mub_per_atom": 0.000, "vol_a3_per_atom": 16.58, "cell": [[3.8407, 0.0000, 0.0000], [0.0000, 3.8407, 0.0000], [0.0000, 0.0000, 6.7446]], "species": ["Ho", "Ho", "H", "H", "Se", "Se"], "frac_coords": [[0.2500, 0.2500, 0.1978], [0.7500, 0.7500, 0.8022], [0.2500, 0.7500, 0.0000], [0.7500, 0.2500, 0.0000], [0.2500, 0.2500, 0.6554], [0.7500, 0.7500, 0.3446]]}


#2 comes first in stability; the runner-up is 103 meV per atom higher.


#1
{"formula": "HoSiH", "functional": "PBE", "state": "optimized geometry", "total_magnetization_mub_per_atom": 0.000, "vol_a3_per_atom": 16.54, "cell": [[3.5352, 0.0000, 0.0000], [-1.7676, 3.0616, 0.0000], [0.0000, 0.0000, 4.5847]], "species": ["Ho", "Si", "H"], "frac_coords": [[0.0000, 0.0000, 0.0000], [0.6667, 0.3333, 0.5000], [0.3333, 0.6667, 0.0000]]}


#2
{"formula": "HoSiH", "functional": "PBE", "state": "optimized geometry", "total_magnetization_mub_per_atom": 0.000, "vol_a3_per_atom": 15.61, "cell": [[-1.5749, 1.5749, 9.4399], [1.5749, -1.5749, 9.4399], [1.5749, 1.5749, -9.4399]], "species": ["Ho", "Ho", "Si", "Si", "H", "H"], "frac_coords": [[0.1645, 0.1645, 0.0000], [0.8355, 0.8355, 0.0000], [0.4383, 0.4383, 0.0000], [0.5617, 0.5617, 0.0000], [0.2871, 0.2871, 0.0000], [0.7129, 0.7129, 0.0000]]}


#1 comes first in stability; the runner-up is 116 meV per atom higher.


#1
{"formula": "SmHo2H", "functional": "PBE", "state": "optimized geometry", "total_magnetization_mub_per_atom": 0.000, "vol_a3_per_atom": 23.93, "cell": [[3.3538, 0.0000, 0.0000], [0.0000, 3.3538, 0.0000], [0.0000, 0.0000, 8.5116]], "species": ["Sm", "Ho", "Ho", "H"], "frac_coords": [[0.0000, 0.0000, 0.0000], [0.5000, 0.5000, 0.3102], [0.5000, 0.5000, 0.6898], [0.0000, 0.0000, 0.5000]]}


#2
{"formula": "SmHo2H", "functional": "PBE", "state": "optimized geometry", "total_magnetization_mub_per_atom": 0.000, "vol_a3_per_atom": 23.82, "cell": [[1.7975, 1.0378, 8.5114], [-1.7975, 1.0378, 8.5114], [0.0000, -2.0756, 8.5114]], "species": ["Sm", "Ho", "Ho", "H"], "frac_coords": [[0.0000, 0.0000, 0.0000], [0.2201, 0.2201, 0.2201], [0.7799, 0.7799, 0.7799], [0.5000, 0.5000, 0.5000]]}


#2 comes first in stability; the runner-up is 325 meV per atom higher.


#1
{"formula": "Sm2HoH", "functional": "PBE", "state": "optimized geometry", "total_magnetization_mub_per_atom": 0.000, "vol_a3_per_atom": 24.67, "cell": [[3.4010, 0.0000, 0.0000], [0.0000, 3.4010, 0.0000], [0.0000, 0.0000, 8.5297]], "species": ["Sm", "Sm", "Ho", "H"], "frac_coords": [[0.0000, 0.0000, 0.1920], [0.0000, 0.0000, 0.8080], [0.5000, 0.5000, 0.5000], [0.5000, 0.5000, 0.0000]]}


#2
{"formula": "Sm2HoH", "functional": "PBE", "state": "optimized geometry", "total_magnetization_mub_per_atom": 0.000, "vol_a3_per_atom": 24.88, "cell": [[1.8245, 1.0534, 8.6298], [-1.8245, 1.0534, 8.6298], [0.0000, -2.1067, 8.6298]], "species": ["Sm", "Sm", "Ho", "H"], "frac_coords": [[0.2218, 0.2218, 0.2218], [0.7782, 0.7782, 0.7782], [0.0000, 0.0000, 0.0000], [0.5000, 0.5000, 0.5000]]}


#2 comes first in stability; the runner-up is 255 meV per atom higher.


#1
{"formula": "HoSnH", "functional": "PBE", "state": "optimized geometry", "total_magnetization_mub_per_atom": 0.104, "vol_a3_per_atom": 19.39, "cell": [[-1.6061, 1.6061, 5.6374], [1.6061, -1.6061, 5.6374], [1.6061, 1.6061, -5.6374]], "species": ["Ho", "Sn", "H"], "frac_coords": [[0.0000, 0.0000, 0.0000], [0.2810, 0.2810, 0.0000], [0.5439, 0.5439, 0.0000]]}


#2
{"formula": "HoSnH", "functional": "PBE", "state": "optimized geometry", "total_magnetization_mub_per_atom": 0.000, "vol_a3_per_atom": 19.10, "cell": [[3.6097, 0.0000, 0.0000], [-1.8048, 3.1261, 0.0000], [0.0000, 0.0000, 5.0786]], "species": ["Ho", "Sn", "H"], "frac_coords": [[0.0000, 0.0000, 0.0000], [0.6667, 0.3333, 0.5000], [0.3333, 0.6667, 0.0000]]}


#3
{"formula": "HoSnH", "functional": "PBE", "state": "optimized geometry", "total_magnetization_mub_per_atom": 0.000, "vol_a3_per_atom": 20.03, "cell": [[5.3839, 0.0000, 0.0000], [0.0000, 5.4221, 3.0882], [0.0000, -5.4221, 3.0882]], "species": ["Ho", "Ho", "Ho", "Sn", "Sn", "Sn", "H", "H", "H"], "frac_coords": [[0.0000, 0.0000, 0.0000], [0.5000, 0.3237, 0.6547], [0.5000, 0.6547, 0.3237], [0.0000, 0.4778, 0.9910], [0.0000, 0.5115, 0.5115], [0.0000, 0.9910, 0.4778], [0.5000, 0.2790, 0.2790], [0.5000, 0.6914, 0.9927], [0.5000, 0.9927, 0.6914]]}


#4
{"formula": "HoSnH", "functional": "PBE", "state": "optimized geometry", "total_magnetization_mub_per_atom": 0.000, "vol_a3_per_atom": 20.22, "cell": [[3.8076, 0.0000, 0.0000], [1.8823, 5.6125, 0.0000], [1.8695, -0.6034, 5.6763]], "species": ["Ho", "Ho", "Sn", "Sn", "H", "H"], "frac_coords": [[0.2268, 0.1994, 0.3491], [0.7732, 0.8006, 0.6509], [0.3992, 0.3685, 0.8309], [0.6008, 0.6315, 0.1691], [0.2025, 0.9661, 0.6283], [0.7975, 0.0339, 0.3717]]}


#2 comes first in stability; the runner-up is 125 meV per atom higher.


#1
{"formula": "TbHo2H", "functional": "PBE", "state": "optimized geometry", "total_magnetization_mub_per_atom": 0.000, "vol_a3_per_atom": 23.42, "cell": [[1.7891, 1.0329, 8.4476], [-1.7891, 1.0329, 8.4476], [0.0000, -2.0658, 8.4476]], "species": ["Tb", "Ho", "Ho", "H"], "frac_coords": [[0.0000, 0.0000, 0.0000], [0.2206, 0.2206, 0.2206], [0.7794, 0.7794, 0.7794], [0.5000, 0.5000, 0.5000]]}


#2
{"formula": "TbHo2H", "functional": "PBE", "state": "optimized geometry", "total_magnetization_mub_per_atom": 0.000, "vol_a3_per_atom": 23.50, "cell": [[3.3388, 0.0000, 0.0000], [0.0000, 3.3388, 0.0000], [0.0000, 0.0000, 8.4313]], "species": ["Tb", "Ho", "Ho", "H"], "frac_coords": [[0.0000, 0.0000, 0.0000], [0.5000, 0.5000, 0.3080], [0.5000, 0.5000, 0.6920], [0.0000, 0.0000, 0.5000]]}


#1 comes first in stability; the runner-up is 311 meV per atom higher.


#1
{"formula": "Ho2TiH", "functional": "PBE", "state": "optimized geometry", "total_magnetization_mub_per_atom": 0.433, "vol_a3_per_atom": 20.47, "cell": [[1.6495, 0.9523, 8.6870], [-1.6495, 0.9523, 8.6870], [0.0000, -1.9046, 8.6870]], "species": ["Ho", "Ho", "Ti", "H"], "frac_coords": [[0.1128, 0.1128, 0.1128], [0.8872, 0.8872, 0.8872], [0.0000, 0.0000, 0.0000], [0.5000, 0.5000, 0.5000]]}


#2
{"formula": "Ho2TiH", "functional": "PBE", "state": "optimized geometry", "total_magnetization_mub_per_atom": 0.000, "vol_a3_per_atom": 19.45, "cell": [[3.1763, 0.0000, 0.0000], [0.0000, 3.1763, 0.0000], [0.0000, 0.0000, 7.7109]], "species": ["Ho", "Ho", "Ti", "H"], "frac_coords": [[0.0000, 0.0000, 0.2167], [0.0000, 0.0000, 0.7833], [0.5000, 0.5000, 0.5000], [0.5000, 0.5000, 0.0000]]}


#2 comes first in stability; the runner-up is 78 meV per atom higher.


#1
{"formula": "Ho4Tl2H", "functional": "PBE", "state": "optimized geometry", "total_magnetization_mub_per_atom": 0.000, "vol_a3_per_atom": 24.93, "cell": [[-2.2856, 2.2856, 8.3533], [2.2856, -2.2856, 8.3533], [2.2856, 2.2856, -8.3533]], "species": ["Ho", "Ho", "Ho", "Ho", "Tl", "Tl", "H"], "frac_coords": [[0.0000, 0.5000, 0.5000], [0.1769, 0.1769, 0.0000], [0.5000, 0.0000, 0.5000], [0.8231, 0.8231, 0.0000], [0.3634, 0.3634, 0.0000], [0.6366, 0.6366, 0.0000], [0.0000, 0.0000, 0.0000]]}


#2
{"formula": "Ho4Tl2H", "functional": "PBE", "state": "optimized geometry", "total_magnetization_mub_per_atom": 0.000, "vol_a3_per_atom": 25.18, "cell": [[6.1274, 0.0000, 0.0000], [0.0000, 6.7087, 0.0000], [-2.6462, 0.0000, 8.5773]], "species": ["Ho", "Ho", "Ho", "Ho", "Ho", "Ho", "Ho", "Ho", "Tl", "Tl", "Tl", "Tl", "H", "H"], "frac_coords": [[0.1802, 0.2500, 0.0703], [0.2632, 0.9997, 0.7319], [0.2632, 0.5003, 0.7319], [0.2805, 0.7500, 0.3727], [0.7195, 0.2500, 0.6273], [0.7368, 0.0003, 0.2681], [0.7368, 0.4997, 0.2681], [0.8198, 0.7500, 0.9297], [0.2072, 0.2500, 0.4203], [0.3446, 0.7500, 0.0421], [0.6554, 0.2500, 0.9579], [0.7928, 0.7500, 0.5797], [0.0740, 0.2500, 0.8006], [0.9260, 0.7500, 0.1994]]}


#2 comes first in stability; the runner-up is 33 meV per atom higher.